No. 1
{
  "formula": "RbTaHgSe4",
  "functional": "PBE-GGA",
  "state": "optimized geometry",
  "lattice": [[6.233, 0.000, -0.162], [0.000, 7.844, 0.000], [-2.680, 0.000, 9.876]],
  "species": ["Rb", "Rb", "Ta", "Ta", "Hg", "Hg", "Se", "Se", "Se", "Se", "Se", "Se", "Se", "Se"],
  "frac_coords": [[0.681, 0.750, 0.885], [0.319, 0.250, 0.115], [0.140, 0.750, 0.286], [0.860, 0.250, 0.714], [0.666, 0.750, 0.332], [0.334, 0.250, 0.668], [0.081, 0.507, 0.722], [0.919, 0.007, 0.278], [0.919, 0.493, 0.278], [0.081, 0.993, 0.722], [0.285, 0.750, 0.090], [0.715, 0.250, 0.910], [0.432, 0.750, 0.504], [0.568, 0.250, 0.496]],
  "formation_energy_uncorrected_ev_per_atom": -0.691,
  "mass_density_g_cm3": 5.423,
  "total_energy_ev_per_fu": -31.9
}



No. 2
{
  "formula": "La2SiIr",
  "functional": "PBE-GGA",
  "state": "optimized geometry",
  "lattice": [[-3.229, 3.771, -0.316], [-2.381, 0.883, -4.278], [-4.875, -0.923, -0.370]],
  "species": ["Ir", "La", "La", "Si"],
  "frac_coords": [[0.500, 0.500, 0.500], [0.000, 0.000, 0.000], [0.750, 0.750, 0.750], [0.250, 0.250, 0.250]],
  "formation_energy_uncorrected_ev_per_atom": -0.285,
  "mass_density_g_cm3": 9.500,
  "total_energy_ev_per_fu": -25.3
}



No. 3
{
  "formula": "La3CrW",
  "functional": "PBE-GGA",
  "state": "optimized geometry",
  "lattice": [[5.580, 0.000, 0.000], [0.000, 5.580, 0.000], [0.000, 0.000, 5.580]],
  "species": ["Cr", "W", "La", "La", "La"],
  "frac_coords": [[0.500, 0.500, 0.500], [0.000, 0.000, 0.000], [0.000, 0.500, 0.000], [0.000, 0.000, 0.500], [0.500, 0.000, 0.000]],
  "polymorph_energy_ev_per_atom": 0.000,
  "mass_density_g_cm3": 6.237,
  "formation_enthalpy_0k_ev_per_atom": 0.7677,
  "total_energy_ev_per_fu": -33.5
}



No. 4
{
  "formula": "NbP2Pt2",
  "functional": "PBE-GGA",
  "state": "optimized geometry",
  "lattice": [[-4.316, -2.661, 5.020], [3.508, -6.208, -0.274], [1.967, 1.013, 2.228]],
  "species": ["P", "P", "P", "P", "Nb", "Nb", "Pt", "Pt", "Pt", "Pt"],
  "frac_coords": [[0.191, 0.691, 0.500], [0.691, 0.809, 0.500], [0.809, 0.309, 0.500], [0.309, 0.191, 0.500], [0.000, 0.000, 0.000], [0.500, 0.500, 0.000], [0.369, 0.869, 0.000], [0.869, 0.631, 0.000], [0.631, 0.131, 0.000], [0.131, 0.369, 0.000]],
  "polymorph_energy_ev_per_atom": 0.004,
  "mass_density_g_cm3": 11.320,
  "formation_enthalpy_0k_ev_per_atom": -0.0426,
  "total_energy_ev_per_fu": -33.2
}



No. 5
{
  "formula": "CsAcAgTe3",
  "functional": "PBE-GGA",
  "state": "optimized geometry",
  "lattice": [[4.880, 0.000, 0.000], [-2.440, 9.240, 0.000], [0.000, 0.000, 11.398]],
  "species": ["Cs", "Cs", "Ac", "Ac", "Ag", "Ag", "Te", "Te", "Te", "Te", "Te", "Te"],
  "frac_coords": [[0.248, 0.495, 0.250], [0.752, 0.505, 0.750], [0.000, 0.000, 0.500], [0.000, 0.000, 0.000], [0.509, 0.018, 0.750], [0.491, 0.982, 0.250], [0.611, 0.222, 0.093], [0.389, 0.778, 0.907], [0.389, 0.778, 0.593], [0.611, 0.222, 0.407], [0.092, 0.184, 0.750], [0.908, 0.816, 0.250]],
  "formation_energy_uncorrected_ev_per_atom": -0.966,
  "mass_density_g_cm3": 5.496,
  "total_energy_ev_per_fu": -23.0
}



No. 6
{
  "formula": "CeEr2HfAs4",
  "functional": "PBE-GGA",
  "state": "optimized geometry",
  "lattice": [[4.044, 0.000, 0.000], [0.000, 7.003, 0.133], [0.000, -2.436, 6.560]],
  "species": ["Ce", "Er", "Er", "Hf", "As", "As", "As", "As"],
  "frac_coords": [[0.000, 0.000, 0.000], [0.500, 0.000, 0.500], [0.000, 0.500, 0.500], [0.500, 0.500, 0.000], [0.500, 0.261, 0.249], [0.500, 0.739, 0.751], [0.000, 0.264, 0.759], [0.000, 0.736, 0.241]],
  "mass_density_g_cm3": 8.458,
  "formation_enthalpy_0k_ev_per_atom": -1.3444,
  "total_energy_ev_per_fu": -54.4
}



No. 7
{
  "formula": "UMnPd6",
  "functional": "PBE-GGA",
  "state": "optimized geometry",
  "lattice": [[4.057, 0.000, 0.000], [0.000, 4.057, 0.000], [0.000, 0.000, 7.962]],
  "species": ["U", "Mn", "Pd", "Pd", "Pd", "Pd", "Pd", "Pd"],
  "frac_coords": [[0.000, 0.000, 0.500], [0.000, 0.000, 0.000], [0.500, 0.500, 0.000], [0.500, 0.500, 0.500], [0.500, 0.000, 0.247], [0.500, 0.000, 0.753], [0.000, 0.500, 0.247], [0.000, 0.500, 0.753]],
  "mass_density_g_cm3": 11.806,
  "formation_enthalpy_0k_ev_per_atom": -0.4209,
  "total_energy_ev_per_fu": -55.0
}



No. 8
{
  "formula": "HfGaAg2Se",
  "functional": "PBE-GGA",
  "state": "optimized geometry",
  "lattice": [[4.742, 0.000, 0.000], [0.000, 5.202, 0.000], [0.000, 0.000, 4.742]],
  "species": ["Ga", "Hf", "Se", "Ag", "Ag"],
  "frac_coords": [[0.000, 0.000, 0.000], [0.000, 0.500, 0.000], [0.500, 0.500, 0.500], [0.000, 0.000, 0.500], [0.500, 0.000, 0.000]],
  "formation_energy_uncorrected_ev_per_atom": 0.461,
  "mass_density_g_cm3": 7.707,
  "total_energy_ev_per_fu": -19.9
}



No. 9
{
  "formula": "NaTl2In4",
  "functional": "PBE-GGA",
  "state": "optimized geometry",
  "lattice": [[-1.505, -3.005, 0.525], [1.628, -0.091, 4.145], [-10.382, 7.870, 4.250]],
  "species": ["Na", "Tl", "Tl", "In", "In", "In", "In"],
  "frac_coords": [[0.500, 0.000, 0.000], [0.804, 0.500, 0.608], [0.196, 0.500, 0.392], [0.935, 0.500, 0.869], [0.625, 0.000, 0.251], [0.065, 0.500, 0.131], [0.375, 0.000, 0.749]],
  "polymorph_energy_ev_per_atom": 0.000,
  "mass_density_g_cm3": 7.182,
  "formation_enthalpy_0k_ev_per_atom": 0.0042,
  "total_energy_ev_per_fu": -17.0
}



No. 10
{
  "formula": "Na4Cd2Ge",
  "functional": "PBE-GGA",
  "state": "optimized geometry",
  "lattice": [[-4.355, -2.559, 3.501], [-1.883, -6.038, -2.870], [4.849, -6.336, 5.605]],
  "species": ["Na", "Na", "Na", "Na", "Na", "Na", "Na", "Na", "Cd", "Cd", "Cd", "Cd", "Ge", "Ge"],
  "frac_coords": [[0.789, 0.094, 0.916], [0.782, 0.656, 0.334], [0.307, 0.121, 0.860], [0.833, 0.132, 0.259], [0.315, 0.650, 0.774], [0.264, 0.629, 0.390], [0.739, 0.618, 0.991], [0.256, 0.100, 0.476], [0.957, 0.441, 0.679], [0.615, 0.309, 0.571], [0.286, 0.375, 0.125], [0.786, 0.875, 0.625], [0.409, 0.963, 0.174], [0.162, 0.787, 0.076]],
  "mass_density_g_cm3": 3.408,
  "formation_enthalpy_0k_ev_per_atom": -0.0637,
  "total_energy_ev_per_fu": -12.2
}



No. 11
{
  "formula": "Sm2PaCo3",
  "functional": "PBE-GGA",
  "state": "optimized geometry",
  "lattice": [[3.832, 0.000, 0.000], [0.000, 6.804, 0.000], [0.000, 0.000, 19.203]],
  "species": ["Sm", "Sm", "Sm", "Sm", "Sm", "Sm", "Sm", "Sm", "Pa", "Pa", "Pa", "Pa", "Co", "Co", "Co", "Co", "Co", "Co", "Co", "Co", "Co", "Co", "Co", "Co"],
  "frac_coords": [[0.250, 0.617, 0.590], [0.750, 0.883, 0.090], [0.250, 0.117, 0.910], [0.750, 0.383, 0.410], [0.250, 0.739, 0.782], [0.750, 0.761, 0.282], [0.250, 0.239, 0.718], [0.750, 0.261, 0.218], [0.250, 0.926, 0.426], [0.750, 0.574, 0.926], [0.250, 0.426, 0.074], [0.750, 0.074, 0.574], [0.250, 0.741, 0.983], [0.750, 0.759, 0.483], [0.250, 0.241, 0.517], [0.750, 0.259, 0.017], [0.250, 0.948, 0.204], [0.750, 0.552, 0.704], [0.250, 0.448, 0.296], [0.750, 0.052, 0.796], [0.250, 0.601, 0.170], [0.750, 0.899, 0.670], [0.250, 0.101, 0.330], [0.750, 0.399, 0.830]],
  "mass_density_g_cm3": 9.398,
  "formation_enthalpy_0k_ev_per_atom": -0.1356,
  "total_energy_ev_per_fu": -41.1
}



No. 12
{
  "formula": "Ac2NdBe2Pt7",
  "functional": "PBE-GGA",
  "state": "optimized geometry",
  "lattice": [[-2.487, -3.115, 1.346], [3.088, -1.384, 2.500], [-4.183, 5.594, 11.817]],
  "species": ["Ac", "Ac", "Nd", "Be", "Be", "Pt", "Pt", "Pt", "Pt", "Pt", "Pt", "Pt"],
  "frac_coords": [[0.825, 0.825, 0.349], [0.175, 0.175, 0.651], [0.000, 0.000, 0.000], [0.618, 0.618, 0.763], [0.382, 0.382, 0.237], [0.500, 0.500, 0.000], [0.295, 0.295, 0.409], [0.705, 0.705, 0.591], [0.919, 0.419, 0.162], [0.419, 0.919, 0.162], [0.581, 0.081, 0.838], [0.081, 0.581, 0.838]],
  "mass_density_g_cm3": 13.877,
  "formation_enthalpy_0k_ev_per_atom": -0.9404,
  "total_energy_ev_per_fu": -74.0
}



No. 13
{
  "formula": "LiYHgSb",
  "functional": "PBE-GGA",
  "state": "optimized geometry",
  "lattice": [[-4.205, 2.952, 0.159], [-2.991, -0.011, 4.181], [-0.135, 4.118, 3.074]],
  "species": ["Y", "Sb", "Hg", "Li"],
  "frac_coords": [[0.250, 0.250, 0.250], [0.500, 0.500, 0.500], [0.000, 0.000, 0.000], [0.750, 0.750, 0.750]],
  "formation_energy_uncorrected_ev_per_atom": -0.552,
  "mass_density_g_cm3": 7.230,
  "total_energy_ev_per_fu": -15.0
}



No. 14
{
  "formula": "AcPr3Se4",
  "functional": "PBE-GGA",
  "state": "optimized geometry",
  "lattice": [[-1.361, 2.349, -3.306], [-4.230, -5.740, -2.336], [-4.027, 4.260, 4.684]],
  "species": ["Ac", "Pr", "Pr", "Pr", "Se", "Se", "Se", "Se"],
  "frac_coords": [[0.500, 0.000, 0.000], [0.000, 0.000, 0.500], [0.500, 0.500, 0.500], [0.000, 0.500, 0.000], [0.000, 0.258, 0.258], [0.500, 0.746, 0.254], [0.000, 0.742, 0.742], [0.500, 0.254, 0.746]],
  "polymorph_energy_ev_per_atom": 0.000,
  "formation_energy_uncorrected_ev_per_atom": -1.843,
  "mass_density_g_cm3": 7.042,
  "total_energy_ev_per_fu": -47.1
}



No. 15
{
  "formula": "K3Ho2NpO6",
  "functional": "PBE-GGA",
  "state": "optimized geometry",
  "lattice": [[-0.090, 4.626, 3.926], [-0.788, -5.681, 1.985], [6.490, -0.223, -1.152]],
  "species": ["K", "K", "K", "Ho", "Ho", "Np", "O", "O", "O", "O", "O", "O"],
  "frac_coords": [[0.168, 0.832, 0.500], [0.832, 0.168, 0.500], [0.500, 0.500, 0.500], [0.333, 0.667, 0.000], [0.667, 0.333, 0.000], [0.000, 0.000, 0.000], [0.938, 0.600, 0.814], [0.724, 0.724, 0.186], [0.062, 0.400, 0.186], [0.600, 0.938, 0.814], [0.276, 0.276, 0.814], [0.400, 0.062, 0.186]],
  "formation_energy_uncorrected_ev_per_atom": -2.568,
  "mass_density_g_cm3": 6.471,
  "total_energy_ev_per_fu": -86.0
}



No. 16
{
  "formula": "Pm2NdTm5Sc",
  "functional": "PBE-GGA",
  "state": "optimized geometry",
  "lattice": [[5.553, 0.000, 0.000], [-2.777, 9.794, 0.000], [0.000, 0.000, 10.393]],
  "species": ["Pm", "Pm", "Pm", "Pm", "Nd", "Nd", "Tm", "Tm", "Tm", "Tm", "Tm", "Tm", "Tm", "Tm", "Tm", "Tm", "Sc", "Sc"],
  "frac_coords": [[0.888, 0.776, 0.815], [0.115, 0.229, 0.733], [0.112, 0.224, 0.315], [0.885, 0.771, 0.233], [0.586, 0.172, 0.957], [0.414, 0.828, 0.457], [0.377, 0.753, 0.019], [0.723, 0.446, 0.823], [0.482, 0.963, 0.738], [0.297, 0.595, 0.705], [0.982, 0.964, 0.521], [0.623, 0.247, 0.519], [0.277, 0.554, 0.323], [0.518, 0.037, 0.238], [0.703, 0.405, 0.205], [0.018, 0.036, 0.021], [0.802, 0.605, 0.514], [0.198, 0.395, 0.014]],
  "mass_density_g_cm3": 7.779,
  "formation_enthalpy_0k_ev_per_atom": 0.1633,
  "total_energy_ev_per_fu": -41.5
}



No. 17
{
  "formula": "CuTeAsI2",
  "functional": "PBE-GGA",
  "state": "optimized geometry",
  "lattice": [[-4.921, 1.022, 1.457], [-1.592, -0.615, -4.947], [-0.803, -5.148, 0.898]],
  "species": ["I", "I", "As", "Te", "Cu"],
  "frac_coords": [[0.000, 0.500, 0.000], [0.500, 0.000, 0.000], [0.500, 0.500, 0.500], [0.000, 0.000, 0.500], [0.000, 0.000, 0.000]],
  "polymorph_energy_ev_per_atom": 0.000,
  "formation_energy_uncorrected_ev_per_atom": 0.576,
  "mass_density_g_cm3": 5.963,
  "total_energy_ev_per_fu": -12.1
}



No. 18
{
  "formula": "NdTm2CdHg4",
  "functional": "PBE-GGA",
  "state": "optimized geometry",
  "lattice": [[5.074, 0.000, 0.000], [2.537, 4.394, 0.000], [2.537, 1.465, 9.057]],
  "species": ["Nd", "Tm", "Tm", "Cd", "Hg", "Hg", "Hg", "Hg"],
  "frac_coords": [[0.000, 0.000, 0.000], [0.760, 0.760, 0.719], [0.240, 0.240, 0.281], [0.500, 0.500, 0.500], [0.381, 0.381, 0.857], [0.876, 0.876, 0.373], [0.124, 0.124, 0.627], [0.619, 0.619, 0.143]],
  "mass_density_g_cm3": 11.488,
  "formation_enthalpy_0k_ev_per_atom": -0.3924,
  "total_energy_ev_per_fu": -19.0
}



No. 19
{
  "formula": "LaTb3Y6",
  "functional": "PBE-GGA",
  "state": "optimized geometry",
  "lattice": [[6.306, 0.000, 0.000], [0.000, 10.947, -1.818], [0.000, -4.215, 10.266]],
  "species": ["La", "La", "Tb", "Tb", "Tb", "Tb", "Tb", "Tb", "Y", "Y", "Y", "Y", "Y", "Y", "Y", "Y", "Y", "Y", "Y", "Y"],
  "frac_coords": [[0.209, 0.211, 0.789], [0.709, 0.789, 0.211], [0.452, 0.923, 0.707], [0.952, 0.707, 0.923], [0.102, 0.386, 0.614], [0.602, 0.614, 0.386], [0.952, 0.077, 0.293], [0.452, 0.293, 0.077], [0.001, 0.715, 0.627], [0.501, 0.627, 0.715], [0.360, 0.564, 0.987], [0.860, 0.987, 0.564], [0.410, 0.951, 0.049], [0.639, 0.312, 0.688], [0.139, 0.688, 0.312], [0.910, 0.049, 0.951], [0.360, 0.013, 0.436], [0.860, 0.436, 0.013], [0.001, 0.373, 0.285], [0.501, 0.285, 0.373]],
  "polymorph_energy_ev_per_atom": 0.000,
  "mass_density_g_cm3": 5.779,
  "formation_enthalpy_0k_ev_per_atom": 0.1429,
  "total_energy_ev_per_fu": -56.2
}



No. 20
{
  "formula": "Hf2TaVH",
  "functional": "PBE-GGA",
  "state": "optimized geometry",
  "lattice": [[4.698, 0.000, 0.000], [0.000, 4.698, 0.000], [0.000, 0.000, 3.543]],
  "species": ["H", "V", "Hf", "Hf", "Ta"],
  "frac_coords": [[0.000, 0.000, 0.000], [0.000, 0.000, 0.500], [0.000, 0.500, 0.000], [0.500, 0.000, 0.000], [0.500, 0.500, 0.500]],
  "mass_density_g_cm3": 12.524,
  "total_energy_ev_per_fu": -44.0
}



In the order shown, the computed N(E_F) values come out to 0.0, 3.0, 4.9, 7.7, 8.1, 6.3, 7.2, 3.8, 3.8, 5.6, 17.9, 1.9, 2.8, 5.3, 11.8, 23.9, 5.7, 5.2, 26.7, 7.0 states/eV/cell.